Entry from Alexandria: MoIr3Se after structural relaxation (GGA-PBEsol).

Computed properties:
* raw formation energy: 9.54 eV per formula unit
* DFT total energy: -35.6 eV per formula unit

a = 4.6570 Å, b = 4.6570 Å, c = 4.6570 Å
α = 90.00°, β = 90.00°, γ = 90.00°
Space group Pm-3m (No. 221)
Inequivalent atoms, fractional coordinates:
Mo 0.0000 0.0000 0.0000 [1 per cell]
Ir 0.0000 0.0000 0.5000 [3 per cell]
Se 0.5000 0.5000 0.5000 [1 per cell]